[1]
VASP calculation (PBE-GGA) on a relaxed Be2InMo2 crystal.

Summary:
The formation enthalpy at 0 K is 0.5 eV per formula unit. As for the space group: P4/mbm, No. 127. The calculation puts the uncorrected energy at -6.277 eV per atom. The total moment comes out at 0.00 μB/f.u.

Lattice parameters (Å, degrees): 6.316 6.316 3.366 90.00 90.00 90.00
Positions (direct):
Be 0.114 0.386 0.000
Be 0.386 0.886 0.000
Be 0.614 0.114 0.000
Be 0.886 0.614 0.000
In 0.000 0.000 0.000
In 0.500 0.500 0.000
Mo 0.171 0.671 0.500
Mo 0.329 0.171 0.500
Mo 0.671 0.829 0.500
Mo 0.829 0.329 0.500



[2]
VASP calculation (PBE-GGA) on a relaxed In3Hg6Bi2 crystal.

Summary:
The formation enthalpy at 0 K is 1.1 eV per formula unit. As for the space group: C2/m, No. 12. The calculation puts the uncorrected energy at -1.516 eV per atom. The total moment comes out at 0.00 μB/f.u.

Lattice parameters (Å, degrees): 6.360 6.360 10.762 95.00 95.00 118.28
Positions (direct):
In 0.000 0.000 0.000
In 0.079 0.079 0.319
In 0.921 0.921 0.681
Hg 0.118 0.681 0.169
Hg 0.319 0.882 0.831
Hg 0.327 0.327 0.578
Hg 0.673 0.673 0.422
Hg 0.681 0.118 0.169
Hg 0.882 0.319 0.831
Bi 0.451 0.451 0.144
Bi 0.549 0.549 0.856



[3]
VASP calculation (PBE-GGA) on a relaxed CeHoHgPd crystal.

Summary:
The formation enthalpy at 0 K is -2.1 eV per formula unit. As for the space group: F-43m, No. 216. The calculation puts the uncorrected energy at -4.515 eV per atom. The total moment comes out at 0.93 μB/f.u.

Lattice parameters (Å, degrees): 5.174 5.174 5.174 60.00 60.00 60.00
Positions (direct):
Ce 0.000 0.000 0.000
Ho 0.500 0.500 0.500
Hg 0.250 0.250 0.250
Pd 0.750 0.750 0.750